DFT (PBE) results for Ba2TlSiAg after structural relaxation.

Lattice parameters (Å, degrees): 6.208 6.208 5.226 90.00 90.00 90.00
Space group P4/mmm (No. 123)
One atom of each set of equivalent atoms:
Ba: 0.000 0.500 0.000 (multiplicity 2)
Tl: 0.000 0.000 0.500 (multiplicity 1)
Si: 0.500 0.500 0.500 (multiplicity 1)
Ag: 0.000 0.000 0.000 (multiplicity 1)

Results
**Crystal system**: tetragonal
**Volume**: 40.3 A^3/atom
**Uncorrected energy**: -0.1980 Ry/atom